[1]
{
  "formula": "Ce2PaN3",
  "functional": "GGA-PBE",
  "state": "relaxed",
  "mass_density_g_cm3": 9.72,
  "e_form_raw_mev_per_atom": -1583,
  "de_polymorph_mev_per_atom": 0,
  "sg": "No. 15",
  "lattice": [[6.130, 0.171, 0.295], [-1.182, 6.018, -0.214], [-1.182, -3.169, 5.121]],
  "species": ["Ce", "Ce", "Ce", "Ce", "Pa", "Pa", "N", "N", "N", "N", "N", "N"],
  "fractional_positions": [[0.250, 0.917, 0.083], [0.250, 0.247, 0.753], [0.750, 0.083, 0.917], [0.750, 0.753, 0.247], [0.250, 0.585, 0.415], [0.750, 0.415, 0.585], [0.003, 0.197, 0.350], [0.503, 0.350, 0.197], [0.000, 0.500, 0.000], [0.997, 0.803, 0.650], [0.500, 0.000, 0.500], [0.497, 0.650, 0.803]]
}

[2]
{
  "formula": "CePa3N4",
  "functional": "GGA-PBE",
  "state": "relaxed",
  "mass_density_g_cm3": 12.00,
  "e_form_raw_mev_per_atom": -1629,
  "sg": "No. 65",
  "lattice": [[3.526, -0.044, 0.060], [0.044, 5.839, 1.716], [-0.098, 0.350, 6.075]],
  "species": ["Pa", "Pa", "Pa", "Ce", "N", "N", "N", "N"],
  "fractional_positions": [[0.500, 0.000, 0.500], [0.000, 0.000, 0.000], [0.000, 0.500, 0.500], [0.500, 0.500, 0.000], [0.000, 0.763, 0.737], [0.500, 0.755, 0.255], [0.000, 0.237, 0.263], [0.500, 0.245, 0.745]]
}

What did the second record say?
{
  "formula": "CePa3N4",
  "functional": "GGA-PBE",
  "state": "relaxed",
  "mass_density_g_cm3": 12.00,
  "e_form_raw_mev_per_atom": -1629,
  "sg": "No. 65",
  "lattice": [[3.526, -0.044, 0.060], [0.044, 5.839, 1.716], [-0.098, 0.350, 6.075]],
  "species": ["Pa", "Pa", "Pa", "Ce", "N", "N", "N", "N"],
  "fractional_positions": [[0.500, 0.000, 0.500], [0.000, 0.000, 0.000], [0.000, 0.500, 0.500], [0.500, 0.500, 0.000], [0.000, 0.763, 0.737], [0.500, 0.755, 0.255], [0.000, 0.237, 0.263], [0.500, 0.245, 0.745]]
}